Record 1
DFT (PBE-GGA) results for a relaxed structure of K3Cd2GeCl9.

Calculated values
Formation energy from raw total energies (eV per atom): -1.36
V (Å³/cell): 437

Cell lengths 7.4391, 7.4391, 9.1081 Å; angles 90.00, 90.00, 120.00 degrees
Positions (direct):
K  0.0000  0.0000  0.0000
K  0.3333  0.6667  0.6723
K  0.6667  0.3333  0.3277
Cd  0.3333  0.6667  0.1674
Cd  0.6667  0.3333  0.8326
Ge  0.0000  0.0000  0.5000
Cl  0.0000  0.5000  0.0000
Cl  0.1663  0.3327  0.3333
Cl  0.1663  0.8337  0.3333
Cl  0.3327  0.1663  0.6667
Cl  0.5000  0.0000  0.0000
Cl  0.5000  0.5000  0.0000
Cl  0.6673  0.8337  0.3333
Cl  0.8337  0.1663  0.6667
Cl  0.8337  0.6673  0.6667

=====

Record 2
DFT (PBE-GGA) results for a relaxed structure of K2CdGeCl6.

Calculated values
Formation energy from raw total energies (eV per atom): -1.35
V (Å³/cell): 285

Cell lengths 7.3704, 7.3704, 7.3704 Å; angles 60.27, 60.27, 60.27 degrees
Positions (direct):
K  0.0000  0.0000  0.0000
K  0.4994  0.4994  0.4994
Cd  0.7655  0.7655  0.7655
Ge  0.2655  0.2655  0.2655
Cl  0.0239  0.4428  0.5949
Cl  0.0928  0.9434  0.5251
Cl  0.4428  0.5949  0.0239
Cl  0.5251  0.0928  0.9434
Cl  0.5949  0.0239  0.4428
Cl  0.9434  0.5251  0.0928

=====

Record 3
DFT (PBE-GGA) results for a relaxed structure of LiCdGeCl2.

Calculated values
Formation energy from raw total energies (eV per atom): -0.37
V (Å³/cell): 115

Cell lengths 4.5689, 4.5689, 5.5327 Å; angles 90.00, 90.00, 90.00 degrees
Positions (direct):
Li  0.0000  0.0000  0.0000
Cd  0.0000  0.0000  0.5000
Ge  0.5000  0.5000  0.5000
Cl  0.0000  0.5000  0.0000
Cl  0.5000  0.0000  0.0000